DFT (PBE-GGA) results for a geometry-optimized Li6Hg5Ge structure.

Computed properties:
Symmetry = No. 12
Magnetization = 0.0 μB per cell
Formation enthalpy at 0 K = -0.3450 eV/atom

Unit cell a=4.619 b=8.094 c=8.094 alpha=119.31 beta=106.62 gamma=106.62
Element x y z (fractional)
Ge (0.000, 0.000, 0.000)
Hg (0.500, 0.167, 0.833)
Hg (0.000, 0.336, 0.664)
Hg (0.500, 0.500, 0.500)
Hg (0.000, 0.664, 0.336)
Hg (0.500, 0.833, 0.167)
Li (0.244, 0.081, 0.407)
Li (0.756, 0.593, 0.919)
Li (0.735, 0.236, 0.236)
Li (0.265, 0.764, 0.764)
Li (0.244, 0.407, 0.081)
Li (0.756, 0.919, 0.593)